(1)
## PuB2Rh3 (PBEsol)

Data for PuB2Rh3 after structural relaxation.

Energy relative to the elements ... -0.523 eV per atom

a b c (Å): 5.5371 5.5371 2.8932
angles (deg): 90.00 90.00 120.00
With the nearest neighbours (Å) after each atom.
Space group P6/mmm (No. 191)
Unique sites:
Pu 0.0000 0.0000 0.0000 (multiplicity 1)  2 Pu 2.89, 12 Rh 3.12, 6 B 3.20
B 0.3333 0.6667 0.0000 (multiplicity 2)  6 Rh 2.16
Rh 0.0000 0.5000 0.5000 (multiplicity 3)  4 B 2.16

=====

(2)
## PuB2Ru (PBEsol)

Data for PuB2Ru after structural relaxation.

Energy relative to the elements ... -0.389 eV per atom

a b c (Å): 5.6291 5.3184 6.3520
angles (deg): 90.00 90.00 90.00
With the nearest neighbours (Å) after each atom.
Space group Pnma (No. 62)
Unique sites:
Pu 0.0019 0.2500 0.1652 (multiplicity 4)  8 B 2.60-2.84, 1 Ru 2.80
B 0.1333 0.0848 0.5381 (multiplicity 8)  2 B 1.76-1.82
Ru 0.1916 0.7500 0.3179 (multiplicity 4)  6 B 2.21-2.29

=====

(3)
## RbRe2B2 (PBEsol)

Data for RbRe2B2 after structural relaxation.

Energy relative to the elements ... 0.297 eV per atom

a b c (Å): 3.9469 3.9469 12.8808
angles (deg): 90.00 90.00 90.00
With the nearest neighbours (Å) after each atom.
Space group I4/mmm (No. 139)
Unique sites:
Rb 0.0000 0.0000 0.0000 (multiplicity 2)  10 B 3.72-3.98, 8 Re 3.78, 4 Rb 3.95
Re 0.0000 0.5000 0.2500 (multiplicity 4)  4 B 2.11
B 0.0000 0.0000 0.3090 (multiplicity 4)  4 Re 2.11

=====

(4)
## RbBRh3 (PBEsol)

Data for RbBRh3 after structural relaxation.

Energy relative to the elements ... 0.496 eV per atom

a b c (Å): 4.2410 4.2410 4.2410
angles (deg): 90.00 90.00 90.00
With the nearest neighbours (Å) after each atom.
Space group Pm-3m (No. 221)
Unique sites:
Rb 0.0000 0.0000 0.0000 (multiplicity 1)  12 Rh 3.00
B 0.5000 0.5000 0.5000 (multiplicity 1)  6 Rh 2.12
Rh 0.0000 0.5000 0.5000 (multiplicity 3)  2 B 2.12

=====

(5)
## RbBSb2Rh (PBEsol)

Data for RbBSb2Rh after structural relaxation.

Energy relative to the elements, uncorrected ... 13.488 eV/f.u.

a b c (Å): 5.8197 5.8197 4.7310
angles (deg): 90.00 90.00 90.00
With the nearest neighbours (Å) after each atom.
Space group P4/mmm (No. 123)
Unique sites:
Rb 0.0000 0.0000 0.0000 (multiplicity 1)  2 Rh 2.37
B 0.5000 0.5000 0.5000 (multiplicity 1)  8 Sb 3.75, 4 Rh 4.12
Sb 0.0000 0.5000 0.0000 (multiplicity 2)  2 Rb 2.91
Rh 0.0000 0.0000 0.5000 (multiplicity 1)  2 Rb 2.37

=====

(6)
## Rb3BRu (PBEsol)

Data for Rb3BRu after structural relaxation.

Energy relative to the elements ... 1.960 eV per atom

a b c (Å): 5.6704 5.6704 5.6704
angles (deg): 90.00 90.00 90.00
With the nearest neighbours (Å) after each atom.
Space group Pm-3m (No. 221)
Unique sites:
Rb 0.0000 0.0000 0.5000 (multiplicity 3)  2 Ru 2.84
B 0.5000 0.5000 0.5000 (multiplicity 1)  12 Rb 4.01
Ru 0.0000 0.0000 0.0000 (multiplicity 1)  6 Rb 2.84

=====

(7)
## RbBRu3 (PBEsol)

Data for RbBRu3 after structural relaxation.

Energy relative to the elements ... 4.031 eV per atom

a b c (Å): 4.6578 4.6578 4.6578
angles (deg): 90.00 90.00 90.00
With the nearest neighbours (Å) after each atom.
Space group Pm-3m (No. 221)
Unique sites:
Rb 0.0000 0.0000 0.0000 (multiplicity 1)  6 Ru 2.33
B 0.5000 0.5000 0.5000 (multiplicity 1)  12 Ru 3.29
Ru 0.0000 0.0000 0.5000 (multiplicity 3)  2 Rb 2.33

=====

(8)
## Rb2BS (PBEsol)

Data for Rb2BS after structural relaxation.

Energy relative to the elements, uncorrected ... 2.523 eV/f.u.

a b c (Å): 7.6546 7.6546 7.6546
angles (deg): 90.00 90.00 90.00
With the nearest neighbours (Å) after each atom.
Space group Fm-3m (No. 225)
Unique sites:
Rb 0.2500 0.2500 0.2500 (multiplicity 8)  4 S 3.31, 4 B 3.31
B 0.0000 0.0000 0.0000 (multiplicity 4)  8 Rb 3.31
S 0.0000 0.0000 0.5000 (multiplicity 4)  8 Rb 3.31